(1)
Material: LiPrMgHg
Method: DFT, GGA-PBE
State: optimized geometry

Cell lengths 5.1214, 5.1214, 5.1214 Å; angles 60.00, 60.00, 60.00 degrees
Last column: nearest neighbours and their distance in Å.
Fractional positions:
Pr 0.7500 0.7500 0.7500  4 Hg 3.14, 4 Li 3.14
Mg 0.2500 0.2500 0.2500  4 Hg 3.14, 4 Li 3.14
Hg 0.5000 0.5000 0.5000  4 Pr 3.14, 4 Mg 3.14
Li 0.0000 0.0000 0.0000  4 Mg 3.14, 4 Pr 3.14

Calculated total energy, hartree per atom: -0.0910
Energy of formation from the pure elements, eV per atom: -0.33
D(E_F), states/eV per atom: 0.525
Theoretical density, Mg/m³: 6.52


(2)
Material: Li2PrMgHg4
Method: DFT, GGA-PBE
State: optimized geometry

Cell lengths 4.7644, 4.7644, 9.5464 Å; angles 75.55, 75.55, 60.00 degrees
Last column: nearest neighbours and their distance in Å.
Fractional positions:
Hg 0.6080 0.6080 0.1761  3 Li 2.96, 1 Mg 2.96, 3 Pr 3.19, 3 Hg 3.29
Hg 0.8756 0.8756 0.3733  4 Li 2.84-3.04, 3 Mg 2.98
Hg 0.1244 0.1244 0.6267  4 Li 2.84-3.04, 3 Mg 2.98
Hg 0.3920 0.3920 0.8239  3 Li 2.96, 1 Mg 2.96, 3 Pr 3.19, 3 Hg 3.29
Pr 0.0000 0.0000 0.0000  8 Hg 3.19-3.41
Li 0.7648 0.7648 0.7056  7 Hg 2.84-3.04
Li 0.2352 0.2352 0.2944  7 Hg 2.84-3.04
Mg 0.5000 0.5000 0.5000  8 Hg 2.96-2.98

Calculated total energy, hartree per atom: -0.0658
Energy of formation from the pure elements, eV per atom: -0.37
D(E_F), states/eV per atom: 0.457
Theoretical density, Mg/m³: 9.07


(3)
Material: LiPr2MgHg6
Method: DFT, GGA-PBE
State: optimized geometry

Cell lengths 5.9493, 9.7640, 7.0940 Å; angles 47.10, 67.09, 90.24 degrees
Last column: nearest neighbours and their distance in Å.
Fractional positions:
Hg 0.8218 0.7950 0.8748  1 Li 2.81, 2 Hg 2.98-2.99, 1 Mg 3.01
Hg 0.6755 0.1819 0.1290  1 Li 2.91, 1 Mg 2.93, 4 Hg 2.98-3.26
Hg 0.2557 0.4175 0.4813  1 Li 2.61, 1 Mg 2.76
Hg 0.1782 0.2050 0.1252  1 Li 2.81, 2 Hg 2.98-2.99, 1 Mg 3.01
Hg 0.7443 0.5825 0.5187  1 Li 2.61, 1 Mg 2.76
Hg 0.3245 0.8181 0.8710  1 Li 2.91, 1 Mg 2.93, 4 Hg 2.98-3.26
Pr 0.7397 0.2530 0.5137  7 Hg 3.24-3.49, 1 Mg 3.60
Pr 0.2603 0.7470 0.4863  7 Hg 3.24-3.49, 1 Mg 3.60
Li 0.5000 0.5000 0.0000  6 Hg 2.61-2.91
Mg 0.0000 0.0000 0.0000  6 Hg 2.76-3.01

Calculated total energy, hartree per atom: -0.0643
Energy of formation from the pure elements, eV per atom: -0.26
D(E_F), states/eV per atom: 0.524
Theoretical density, Mg/m³: 9.88


(4)
Material: Li2PrMgHg2
Method: DFT, GGA-PBE
State: optimized geometry

Cell lengths 4.7239, 4.7239, 6.9962 Å; angles 90.00, 90.00, 120.00 degrees
Last column: nearest neighbours and their distance in Å.
Fractional positions:
Li 0.6667 0.3333 0.3287  4 Hg 2.77-2.87, 3 Mg 2.98
Li 0.3333 0.6667 0.6713  4 Hg 2.77-2.87, 3 Mg 2.98
Hg 0.6667 0.3333 0.7384  4 Li 2.77-2.87
Hg 0.3333 0.6667 0.2616  4 Li 2.77-2.87
Pr 0.0000 0.0000 0.0000  6 Hg 3.28, 2 Mg 3.50, 6 Li 3.57
Mg 0.0000 0.0000 0.5000  6 Li 2.98, 6 Hg 3.20

Calculated total energy, hartree per atom: -0.0787
Energy of formation from the pure elements, eV per atom: -0.34
D(E_F), states/eV per atom: 0.862
Theoretical density, Mg/m³: 7.13


(5)
Material: Li2PuMgHg4
Method: DFT, GGA-PBE
State: optimized geometry

Cell lengths 4.7832, 4.7832, 9.3996 Å; angles 75.26, 75.26, 60.00 degrees
Last column: nearest neighbours and their distance in Å.
Fractional positions:
Hg 0.1233 0.1233 0.6300  4 Li 2.86-3.07, 3 Mg 3.00
Hg 0.3906 0.3906 0.8281  1 Mg 2.95, 3 Li 2.95, 3 Pu 3.16, 3 Hg 3.29
Hg 0.6094 0.6094 0.1719  1 Mg 2.95, 3 Li 2.95, 3 Pu 3.16, 3 Hg 3.29
Hg 0.8767 0.8767 0.3700  4 Li 2.86-3.07, 3 Mg 3.00
Li 0.2374 0.2374 0.2878  7 Hg 2.86-3.07
Li 0.7626 0.7626 0.7122  7 Hg 2.86-3.07
Pu 0.0000 0.0000 0.0000  8 Hg 3.16-3.32
Mg 0.5000 0.5000 0.5000  8 Hg 2.95-3.00

Calculated total energy, hartree per atom: -0.1042
Energy of formation from the pure elements, eV per atom: -0.21
D(E_F), states/eV per atom: 2.153
Theoretical density, Mg/m³: 10.12


(6)
Material: LiPuMgHg
Method: DFT, GGA-PBE
State: optimized geometry

Cell lengths 5.0762, 5.0762, 5.0762 Å; angles 60.00, 60.00, 60.00 degrees
Last column: nearest neighbours and their distance in Å.
Fractional positions:
Hg 0.5000 0.5000 0.5000  4 Pu 3.11, 4 Mg 3.11
Mg 0.2500 0.2500 0.2500  4 Hg 3.11, 4 Li 3.11
Pu 0.7500 0.7500 0.7500  4 Hg 3.11, 4 Li 3.11
Li 0.0000 0.0000 0.0000  4 Mg 3.11, 4 Pu 3.11

Calculated total energy, hartree per atom: -0.1670
Energy of formation from the pure elements, eV per atom: -0.01
D(E_F), states/eV per atom: 3.642
Theoretical density, Mg/m³: 8.54